Entry 1:
Below is crystalline MnCo2Re at its relaxed geometry, with properties calculated at the GGA-PBE level.

Summary:
**Energy of formation from the pure elements**: 0.4 kcal/mol of atoms
**VASP energy**: -8.9398 eV/atom
**Magnetic moment**: 0.2384 μB/atom

```
16
Lattice="4.080 0.000 0.000 0.000 4.447 0.000 0.000 0.000 10.328" Properties=species:S:1:pos:R:3 pbc="T T T"
Re 1.020 4.066 7.035
Re 3.060 2.605 1.872
Re 1.020 1.842 8.456
Re 3.060 0.381 3.292
Co 1.020 1.824 5.718
Co 3.060 2.627 9.700
Co 1.020 4.048 9.774
Co 3.060 0.403 5.792
Co 1.020 1.821 0.628
Co 3.060 0.399 0.554
Co 3.060 2.623 4.610
Co 1.020 4.045 4.536
Mn 1.020 4.137 1.901
Mn 1.020 1.914 3.263
Mn 3.060 2.534 7.065
Mn 3.060 0.310 8.427
```

Entry 2:
Below is crystalline AlTe2Br at its relaxed geometry, with properties calculated at the GGA-PBE level.

Summary:
**VASP energy**: -2.7784 eV/atom
**Magnetic moment**: 0.0000 μB/atom
**ΔE_f (raw)**: 14.1 kJ per mole of atoms

```
4
Lattice="-1.170 -0.586 -7.286 -0.780 -4.689 5.674 -2.875 0.945 0.386" Properties=species:S:1:pos:R:3 pbc="T T T"
Al -2.022 0.179 -3.450
Br -1.827 -1.872 3.030
Te -0.975 -2.638 -0.806
Te 0.000 0.000 0.000
```

Entry 3:
Below is crystalline YNb3In at its relaxed geometry, with properties calculated at the GGA-PBE level.

Summary:
**Energy of formation from the pure elements**: 41.5 kcal/mol of atoms
**VASP energy**: -6.0834 eV/atom
**Magnetic moment**: 0.0000 μB/atom

```
5
Lattice="-0.973 -1.442 -4.650 4.326 -2.432 -0.151 -2.234 -4.081 1.733" Properties=species:S:1:pos:R:3 pbc="T T T"
Y 0.000 0.000 0.000
In 0.560 -3.977 -1.534
Nb 2.163 -1.216 -0.075
Nb -1.117 -2.041 0.866
Nb -0.486 -0.721 -2.325
```

Entry 4:
Below is crystalline Cr6CoN at its relaxed geometry, with properties calculated at the GGA-PBE level.

Summary:
**VASP energy**: -8.8699 eV/atom
**Magnetic moment**: 0.3050 μB/atom
**ΔE_f (raw)**: 26.7 kJ per mole of atoms

```
8
Lattice="5.029 0.023 -0.006 2.523 4.393 -0.008 2.497 1.455 4.210" Properties=species:S:1:pos:R:3 pbc="T T T"
Cr 3.876 1.177 1.075
Cr 6.174 4.694 3.121
Cr 7.962 3.061 3.128
Cr 8.471 5.441 3.117
Cr 2.088 2.810 1.068
Cr 1.578 0.429 1.079
Co 5.025 2.935 2.098
N 0.000 0.000 0.000
```

Entry 5:
Below is crystalline TmHO at its relaxed geometry, with properties calculated at the GGA-PBE level.

Summary:
**VASP energy**: -6.2968 eV/atom
**Magnetic moment**: 0.0000 μB/atom

```
3
Lattice="5.038 0.000 0.000 0.000 3.494 0.000 0.000 -1.747 3.026" Properties=species:S:1:pos:R:3 pbc="T T T"
O 0.854 0.000 2.017
Tm 0.152 0.000 0.000
H 4.031 1.747 1.009
```

Entry 6:
Below is crystalline Y2Ge3Ir2 at its relaxed geometry, with properties calculated at the GGA-PBE level.

Summary:
**Energy of formation from the pure elements**: -17.4 kcal/mol of atoms
**VASP energy**: -7.1136 eV/atom
**Magnetic moment**: 0.0000 μB/atom

```
14
Lattice="-3.860 1.425 -0.508 -1.419 -5.432 -4.449 -0.823 -5.689 7.208" Properties=species:S:1:pos:R:3 pbc="T T T"
Ge -3.727 -9.412 1.922
Ge -2.375 -0.285 0.329
Ge -3.208 -7.426 3.548
Ge -2.307 -6.321 -0.197
Ge -3.795 -3.376 2.448
Ge -2.893 -2.270 -1.297
Ir -4.340 -6.366 -1.793
Ir -2.328 -5.497 2.270
Ir -3.774 -4.199 -0.019
Ir -1.762 -3.330 4.045
Y -1.217 -2.916 1.065
Y -4.885 -6.780 1.186
Y -4.709 -5.028 4.757
Y -1.393 -4.668 -2.506
```